(1)
A geometry-optimized PrSc2Al9 structure. Source: Alexandria, functional PBE.

Output
M_tot in μB/f.u.: 0.00
Formation energy from the elements in eV per formula unit: -4.23

Unit cell a=5.4993 b=5.4993 c=25.9876 alpha=90.00 beta=90.00 gamma=120.00
Last column: nearest neighbours and their distance in Å.
Space group R-3m (No. 166, hexagonal axes)
One atom of each set of equivalent atoms:
Pr 0.0000 0.0000 0.0000  18 Al 3.18-3.54
Sc 0.0000 0.0000 0.1430  12 Al 3.12-3.23, 3 Sc 3.40
Al 0.0000 0.0000 0.3356  6 Al 2.72-2.77
Al 0.0000 0.0000 0.5000  6 Al 2.65
Al 0.0080 0.5040 0.9140  7 Al 2.65-2.82

---

(2)
A geometry-optimized ScAs2Pt structure. Source: Alexandria, functional PBE.

Output
E above lowest polymorph in meV per atom: 16.8
M_tot in μB/f.u.: 0.00
Formation energy from the elements in eV per formula unit: -2.74

Unit cell a=9.4834 b=3.5877 c=4.3270 alpha=90.00 beta=105.08 gamma=90.00
Last column: nearest neighbours and their distance in Å.
Space group Cm (No. 8)
One atom of each set of equivalent atoms:
Sc 0.0000 0.0000 0.0000  7 As 2.66-2.82, 2 Pt 2.95-2.98
As 0.0161 0.5000 0.5113  3 Pt 2.69-2.82, 4 Sc 2.81-2.82
As 0.2622 0.0000 0.8839  3 Sc 2.66-2.82, 4 Pt 2.76-2.86
Pt 0.2784 0.5000 0.3781  7 As 2.69-2.86, 2 Sc 2.95-2.98